K2LiCdH, relaxed, DFT PBE; raw total energy = -0.1227 Ry per atom
1.0
6.393 0.000 0.000
0.000 6.393 0.000
0.000 0.000 3.739
K Cd Li H
2 1 1 1
Direct
0.500 0.000 0.000 K
0.000 0.500 0.000 K
0.500 0.500 0.500 Cd
0.000 0.000 0.500 Li
0.000 0.000 0.000 H


Sr2PaAg2O6, relaxed, DFT PBE; raw total energy = -0.4696 Ry per atom; ΔE_f (raw) = -1998 meV/atom
1.0
-1.118 -4.648 4.332
3.353 -0.149 5.510
-3.106 1.591 5.710
O Pa Ag Sr
6 1 2 2
Direct
0.804 0.230 0.736 O
0.770 0.196 0.264 O
0.196 0.770 0.264 O
0.770 0.770 0.264 O
0.230 0.230 0.736 O
0.230 0.804 0.736 O
0.000 0.000 0.000 Pa
0.415 0.415 0.756 Ag
0.585 0.585 0.244 Ag
0.204 0.204 0.388 Sr
0.796 0.796 0.612 Sr


AlCuSe2, relaxed, DFT PBE; raw total energy = -0.2851 Ry per atom; ΔE_f (raw) = -177 meV/atom
1.0
-2.657 -0.798 -2.062
2.878 0.216 -3.792
-1.715 -5.855 4.477
Se Cu Al
2 1 1
Direct
0.000 0.772 0.006 Se
0.000 0.728 0.494 Se
0.500 0.750 0.750 Cu
0.500 0.250 0.250 Al


TmTlPd, relaxed, DFT PBE; raw total energy = -0.3329 Ry per atom; calculated formation energy = -0.519 eV per atom
1.0
4.715 0.000 0.000
2.358 4.084 0.000
2.358 1.361 3.850
Pd Tl Tm
1 1 1
Direct
0.250 0.250 0.250 Pd
0.500 0.500 0.500 Tl
0.000 0.000 0.000 Tm


Hf8TlRh2, relaxed, DFT PBE; raw total energy = -0.6578 Ry per atom; calculated formation energy = -0.159 eV per atom
1.0
-3.408 -2.858 -2.774
5.656 -4.760 0.464
-3.907 1.076 6.200
Rh Hf Tl
2 8 1
Direct
0.000 0.290 0.710 Rh
0.000 0.710 0.290 Rh
0.308 0.589 0.589 Hf
0.692 0.411 0.411 Hf
0.940 0.906 0.669 Hf
0.500 0.253 0.747 Hf
0.940 0.669 0.906 Hf
0.060 0.094 0.331 Hf
0.060 0.331 0.094 Hf
0.500 0.747 0.253 Hf
0.500 0.000 0.000 Tl


HfCoSb3, relaxed, DFT PBE; relative energy among the computed polymorphs = 0.583 eV per atom; raw total energy = -0.3547 Ry per atom; ΔE_f (raw) = 1060 meV/atom
1.0
5.444 0.000 0.000
0.000 5.444 0.000
0.000 0.000 5.444
Hf Sb Co
1 3 1
Direct
0.000 0.000 0.000 Hf
0.000 0.000 0.500 Sb
0.000 0.500 0.000 Sb
0.500 0.000 0.000 Sb
0.500 0.500 0.500 Co


KZr2NbIr, relaxed, DFT PBE; raw total energy = -0.3828 Ry per atom; calculated formation energy = 2.217 eV per atom
1.0
-3.507 -2.895 -1.418
1.134 -2.944 3.205
-2.992 2.141 3.026
K Zr Ir Nb
1 2 1 1
Direct
0.000 0.000 0.000 K
0.000 0.000 0.500 Zr
0.500 0.000 0.000 Zr
0.500 0.500 0.500 Ir
0.000 0.500 0.000 Nb


PmLuTcPd, relaxed, DFT PBE; raw total energy = -0.4802 Ry per atom; calculated formation energy = -0.326 eV per atom
1.0
4.899 0.000 0.000
2.449 4.242 0.000
2.449 1.414 4.000
Pd Pm Tc Lu
1 1 1 1
Direct
0.000 0.000 0.000 Pd
0.750 0.750 0.750 Pm
0.500 0.500 0.500 Tc
0.250 0.250 0.250 Lu


FeSiAsBr2, relaxed, DFT PBE; relative energy among the computed polymorphs = 0.117 eV per atom; raw total energy = -0.2644 Ry per atom; ΔE_f (raw) = 779 meV/atom
1.0
4.952 0.000 0.000
0.000 4.952 0.000
0.000 0.000 5.098
Br Fe Si As
2 1 1 1
Direct
0.500 0.000 0.000 Br
0.000 0.500 0.000 Br
0.500 0.500 0.500 Fe
0.000 0.000 0.000 Si
0.000 0.000 0.500 As


Ta2Tl, relaxed, DFT PBE; raw total energy = -0.6093 Ry per atom; calculated formation energy = 0.401 eV per atom
1.0
1.777 -6.971 0.000
1.777 6.971 0.000
0.000 0.000 4.729
Ta Tl
4 2
Direct
0.580 0.420 0.250 Ta
0.238 0.762 0.250 Ta
0.420 0.580 0.750 Ta
0.762 0.238 0.750 Ta
0.093 0.907 0.750 Tl
0.907 0.093 0.250 Tl


ErTiAu2, relaxed, DFT PBE; relative energy among the computed polymorphs = 0.000 eV per atom; raw total energy = -0.3905 Ry per atom; calculated formation energy = -0.560 eV per atom
1.0
-1.422 -3.048 0.610
0.220 -0.768 -3.323
6.218 -2.694 1.035
Ti Au Er
1 2 1
Direct
0.500 0.500 0.000 Ti
0.000 0.000 0.223 Au
0.000 0.000 0.777 Au
0.500 0.500 0.500 Er


AcHoTe2S, relaxed, DFT PBE; raw total energy = -0.3950 Ry per atom; ΔE_f (raw) = -1555 meV/atom
1.0
-1.404 1.499 4.088
0.813 -4.129 1.793
14.804 4.420 3.464
S Ac Te Ho
2 2 4 2
Direct
0.000 0.000 0.500 S
0.500 0.500 0.500 S
0.500 0.000 0.611 Ac
0.000 0.500 0.389 Ac
0.000 0.500 0.093 Te
0.000 0.500 0.712 Te
0.500 0.000 0.907 Te
0.500 0.000 0.288 Te
0.500 0.000 0.106 Ho
0.000 0.500 0.894 Ho